No. 1
Material: TcPIrC2
Method: DFT, meta-GGA SCAN
State: single point on PBEsol structure

Crystal system: tetragonal
Energy of formation, meV/atom: 2084
E, eV per atom: -25.27
SG: No. 123

Unit cell a=3.572 b=3.572 c=4.785 alpha=90.00 beta=90.00 gamma=90.00
Site moments in Bohr magnetons follow the coordinates.
Positions (direct):
P: 0.000 0.000 0.000  -0.01
C: 0.000 0.500 0.000  0.03
C: 0.500 0.000 0.000  0.03
Ir: 0.500 0.500 0.500  0.12
Tc: 0.000 0.000 0.500  0.60

***

No. 2
Material: P2IrWC
Method: DFT, meta-GGA SCAN
State: single point on PBEsol structure

Crystal system: tetragonal
Energy of formation, meV/atom: 1096
E, eV per atom: -33.24
SG: No. 123

Unit cell a=3.941 b=4.006 c=4.006 alpha=90.00 beta=90.00 gamma=90.00
Site moments in Bohr magnetons follow the coordinates.
Positions (direct):
P: 0.000 0.000 0.500  0.01
P: 0.000 0.500 0.000  0.01
C: 0.000 0.000 0.000  0.00
Ir: 0.500 0.500 0.500  0.02
W: 0.500 0.000 0.000  0.53

***

No. 3
Material: IrRuPb2C
Method: DFT, meta-GGA SCAN
State: single point on PBEsol structure

Crystal system: tetragonal
Energy of formation, meV/atom: 1129
E, eV per atom: -52.39
SG: No. 123

Unit cell a=3.803 b=4.960 c=4.960 alpha=90.00 beta=90.00 gamma=90.00
Site moments in Bohr magnetons follow the coordinates.
Positions (direct):
Pb: 0.000 0.000 0.500  -0.01
Pb: 0.000 0.500 0.000  -0.01
Ru: 0.500 0.500 0.500  1.81
C: 0.000 0.000 0.000  0.02
Ir: 0.500 0.000 0.000  0.15

***

No. 4
Material: IrRhC2
Method: DFT, meta-GGA SCAN
State: single point on PBEsol structure

Crystal system: tetragonal
Energy of formation, meV/atom: 466
E, eV per atom: -30.80
SG: No. 122

Unit cell a=4.560 b=4.560 c=5.598 alpha=114.03 beta=114.03 gamma=90.00
Positions (direct):
C: 0.372 0.875 0.250
C: 0.878 0.375 0.250
C: 0.125 0.122 0.750
C: 0.625 0.628 0.750
Ir: 0.250 0.750 0.500
Ir: 0.000 0.000 0.000
Rh: 0.750 0.250 0.500
Rh: 0.500 0.500 0.000

***

No. 5
Material: IrRhC2S
Method: DFT, meta-GGA SCAN
State: single point on PBEsol structure

Crystal system: tetragonal
E, eV per atom: -25.00
SG: No. 123

Unit cell a=3.766 b=3.766 c=4.839 alpha=90.00 beta=90.00 gamma=90.00
Positions (direct):
S: 0.000 0.000 0.500
Ir: 0.500 0.500 0.500
Rh: 0.000 0.000 0.000
C: 0.000 0.500 0.000
C: 0.500 0.000 0.000

***

No. 6
Material: TlIrRhC2
Method: DFT, meta-GGA SCAN
State: single point on PBEsol structure

Crystal system: tetragonal
Energy of formation, meV/atom: 1961
E, eV per atom: -37.53
SG: No. 123

Unit cell a=3.835 b=3.835 c=5.540 alpha=90.00 beta=90.00 gamma=90.00
Positions (direct):
Tl: 0.000 0.000 0.500
Ir: 0.500 0.500 0.500
Rh: 0.000 0.000 0.000
C: 0.000 0.500 0.000
C: 0.500 0.000 0.000